The following is a GGA-PBE calculation of a geometry-optimized CaTa2Si2 structure, from the Alexandria database.

a = 8.005 Å, b = 8.005 Å, c = 2.819 Å
α = 90.00°, β = 90.00°, γ = 90.00°
Positions (direct):
Si1 0.827 0.327 0.500
Si2 0.327 0.173 0.500
Si3 0.173 0.673 0.500
Si4 0.673 0.827 0.500
Ca1 0.500 0.500 0.000
Ca2 0.000 0.000 0.000
Ta1 0.380 0.880 0.000
Ta2 0.620 0.120 0.000
Ta3 0.120 0.380 0.000
Ta4 0.880 0.620 0.000

Output
DOS(E_F) in states/eV per atom: 0.24
Space group: P4/mbm (127)
M_tot in μB/cell: 0.00
Energy above the most stable polymorph in this dataset in meV per atom: 82
Uncorrected formation energy in meV per atom: -123.4

The following is a GGA-PBE calculation of a geometry-optimized CaTa2Si structure, from the Alexandria database.

a = 5.613 Å, b = 5.613 Å, c = 5.613 Å
α = 143.72°, β = 131.54°, γ = 62.02°
Positions (direct):
Ta1 0.476 0.476 0.000
Ta2 0.024 0.024 0.000
Ca1 0.750 0.250 0.500
Si1 0.250 0.750 0.500

Output
DOS(E_F) in states/eV per atom: 0.68
Space group: Immm (71)
M_tot in μB/cell: 0.00
Uncorrected formation energy in meV per atom: 308.5

The following is a GGA-PBE calculation of a geometry-optimized CaTa2Si2 structure, from the Alexandria database.

a = 7.195 Å, b = 7.195 Å, c = 3.382 Å
α = 90.00°, β = 90.00°, γ = 90.00°
Positions (direct):
Ca1 0.000 0.000 0.000
Ca2 0.500 0.500 0.000
Si1 0.624 0.124 0.000
Si2 0.376 0.876 0.000
Si3 0.124 0.376 0.000
Si4 0.876 0.624 0.000
Ta1 0.835 0.335 0.500
Ta2 0.335 0.165 0.500
Ta3 0.165 0.665 0.500
Ta4 0.665 0.835 0.500

Output
DOS(E_F) in states/eV per atom: 0.74
Space group: P4/mbm (127)
M_tot in μB/cell: 0.00
Energy above the most stable polymorph in this dataset in meV per atom: 0
Uncorrected formation energy in meV per atom: -205.3

The following is a GGA-PBE calculation of a geometry-optimized CaTaSi structure, from the Alexandria database.

a = 7.027 Å, b = 7.027 Å, c = 7.027 Å
α = 155.42°, β = 155.42°, γ = 35.04°
Positions (direct):
Ca1 0.986 0.986 0.000
Ta1 0.693 0.693 0.000
Si1 0.322 0.322 0.000

Output
DOS(E_F) in states/eV per atom: 0.90
Space group: I4mm (107)
M_tot in μB/cell: 0.00
Uncorrected formation energy in meV per atom: 95.8

The following is a GGA-PBE calculation of a geometry-optimized CaTaSi structure, from the Alexandria database.

a = 4.582 Å, b = 4.582 Å, c = 4.582 Å
α = 60.00°, β = 60.00°, γ = 60.00°
Positions (direct):
Ta1 0.000 0.000 0.000
Ca1 0.500 0.500 0.500
Si1 0.250 0.250 0.250

Output
DOS(E_F) in states/eV per atom: 0.97
Space group: F-43m (216)
M_tot in μB/cell: 1.84
Uncorrected formation energy in meV per atom: 410.0

The following is a GGA-PBE calculation of a geometry-optimized CaTa2Si structure, from the Alexandria database.

a = 4.620 Å, b = 4.070 Å, c = 4.070 Å
α = 90.00°, β = 90.00°, γ = 90.00°
Positions (direct):
Ta1 0.000 0.000 0.000
Ta2 0.000 0.500 0.500
Ca1 0.500 0.500 0.000
Si1 0.500 0.000 0.500

Output
DOS(E_F) in states/eV per atom: 0.90
Space group: P4/mmm (123)
M_tot in μB/cell: 0.00
Uncorrected formation energy in meV per atom: 384.0

The following is a GGA-PBE calculation of a geometry-optimized Ca2TaSi structure, from the Alexandria database.

a = 5.458 Å, b = 5.458 Å, c = 5.458 Å
α = 131.49°, β = 131.49°, γ = 71.03°
Positions (direct):
Si1 0.500 0.500 0.000
Ca1 0.000 0.000 0.000
Ca2 0.250 0.750 0.500
Ta1 0.750 0.250 0.500

Output
DOS(E_F) in states/eV per atom: 0.65
Space group: I-4m2 (119)
M_tot in μB/cell: 0.99
Uncorrected formation energy in meV per atom: 475.2

The following is a GGA-PBE calculation of a geometry-optimized CaTa2Si structure, from the Alexandria database.

a = 6.271 Å, b = 6.271 Å, c = 5.147 Å
α = 65.79°, β = 65.79°, γ = 25.79°
Positions (direct):
Ta1 0.546 0.546 0.454
Ta2 0.954 0.954 0.046
Ca1 0.750 0.750 0.750
Si1 0.250 0.250 0.250

Output
DOS(E_F) in states/eV per atom: 0.93
Space group: Immm (71)
M_tot in μB/cell: 0.00
Uncorrected formation energy in meV per atom: 166.9

The following is a GGA-PBE calculation of a geometry-optimized Ca2TaSi structure, from the Alexandria database.

a = 5.873 Å, b = 5.873 Å, c = 5.873 Å
α = 139.75°, β = 138.29°, γ = 59.35°
Positions (direct):
Ca1 0.507 0.507 0.000
Ca2 0.993 0.993 0.000
Si1 0.750 0.250 0.500
Ta1 0.250 0.750 0.500

Output
DOS(E_F) in states/eV per atom: 0.82
Space group: Immm (71)
M_tot in μB/cell: 0.00
Uncorrected formation energy in meV per atom: 411.7

The following is a GGA-PBE calculation of a geometry-optimized Ca2TaSi structure, from the Alexandria database.

a = 5.793 Å, b = 5.793 Å, c = 3.078 Å
α = 90.00°, β = 90.00°, γ = 119.72°
Positions (direct):
Ta1 0.000 0.500 0.500
Ca1 0.000 0.000 0.000
Ca2 0.500 0.500 0.000
Si1 0.500 0.000 0.500

Output
DOS(E_F) in states/eV per atom: 0.80
Space group: Cmmm (65)
M_tot in μB/cell: 0.00
Uncorrected formation energy in meV per atom: 434.6

The following is a GGA-PBE calculation of a geometry-optimized CaTa2Si structure, from the Alexandria database.

a = 3.432 Å, b = 3.432 Å, c = 6.939 Å
α = 90.00°, β = 90.00°, γ = 90.00°
Positions (direct):
Si1 0.500 0.500 0.750
Ta1 0.000 0.000 0.927
Ta2 0.000 0.000 0.573
Ca1 0.500 0.500 0.250

Output
DOS(E_F) in states/eV per atom: 0.76
Space group: P4/mmm (123)
M_tot in μB/cell: 0.00
Uncorrected formation energy in meV per atom: 237.1

The following is a GGA-PBE calculation of a geometry-optimized CaTaSi structure, from the Alexandria database.

a = 3.145 Å, b = 3.145 Å, c = 7.193 Å
α = 90.00°, β = 90.00°, γ = 120.00°
Positions (direct):
Ca1 0.000 0.000 0.014
Si1 0.667 0.333 0.353
Ta1 0.333 0.667 0.633

Output
DOS(E_F) in states/eV per atom: 0.88
Space group: P3m1 (156)
M_tot in μB/cell: 0.29
Uncorrected formation energy in meV per atom: 312.0

Copy entry 5 word for word.
The following is a GGA-PBE calculation of a geometry-optimized CaTaSi structure, from the Alexandria database.

a = 4.582 Å, b = 4.582 Å, c = 4.582 Å
α = 60.00°, β = 60.00°, γ = 60.00°
Positions (direct):
Ta1 0.000 0.000 0.000
Ca1 0.500 0.500 0.500
Si1 0.250 0.250 0.250

Output
DOS(E_F) in states/eV per atom: 0.97
Space group: F-43m (216)
M_tot in μB/cell: 1.84
Uncorrected formation energy in meV per atom: 410.0

Q: Look up the uncorrected formation energy of the tenth one.
A: 434.6 meV per atom

Q: What is the formula in the seventh record?
A: Ca2TaSi

Q: Among the records above, which one has the lowest DOS(E_F)?
A: number 1